[1]
{
  "formula": "LiBePd2N",
  "functional": "GGA-PBEsol",
  "state": "optimized geometry",
  "lattice_angstrom": [[4.234, 0.000, 0.000], [0.000, 4.234, 0.000], [0.000, 0.000, 3.170]],
  "species": ["Li", "Be", "Pd", "Pd", "N"],
  "frac_coords": [[0.000, 0.000, 0.000], [0.500, 0.500, 0.000], [0.000, 0.500, 0.500], [0.500, 0.000, 0.500], [0.500, 0.500, 0.500]],
  "raw_formation_energy_ev_per_atom": -0.348,
  "space_group": "No. 123"
}



[2]
{
  "formula": "LiBeNi",
  "functional": "GGA-PBEsol",
  "state": "optimized geometry",
  "lattice_angstrom": [[0.000, 2.565, 2.565], [2.565, 0.000, 2.565], [2.565, 2.565, 0.000]],
  "species": ["Li", "Be", "Ni"],
  "frac_coords": [[0.000, 0.000, 0.000], [0.250, 0.250, 0.250], [0.500, 0.500, 0.500]],
  "space_group": "No. 216",
  "ef_ev_per_atom": 0.33
}



[3]
{
  "formula": "LiBe4Ni",
  "functional": "GGA-PBEsol",
  "state": "optimized geometry",
  "lattice_angstrom": [[0.000, 2.967, 2.967], [2.967, 0.000, 2.967], [2.967, 2.967, 0.000]],
  "species": ["Li", "Be", "Be", "Be", "Be", "Ni"],
  "frac_coords": [[0.000, 0.000, 0.000], [0.127, 0.624, 0.624], [0.624, 0.127, 0.624], [0.624, 0.624, 0.127], [0.624, 0.624, 0.624], [0.250, 0.250, 0.250]],
  "space_group": "No. 216",
  "ef_ev_per_atom": -0.14
}



Record order is preserved below.
Total DFT energy (no corrections): -28.2; -11.1; -24.9 eV per cell